# LiOs2Pt

A crystal of LiOs2Pt relaxed with PBEsol (meta-GGA SCAN, the Alexandria database).

Summary:
The value obtained for the formation energy from the elements is 212 meV/atom. The value obtained for the raw total energy is -53.874 eV/atom. The calculated volume comes out at 219 Å³/cell. As for the excess energy over the best structure of this formula in the dataset: 211 meV/atom.

```
data_LiOs2Pt
_chemical_formula_sum 'Li4 Os8 Pt4'
_cell_length_a 6.0262
_cell_length_b 6.0262
_cell_length_c 6.0262
_cell_angle_alpha 90.00
_cell_angle_beta 90.00
_cell_angle_gamma 90.00
_symmetry_space_group_name_H-M 'F -4 3 m'
_symmetry_Int_Tables_number 216
_symmetry_space_group_name_Hall 'F -4 2 3'
loop_
_atom_site_label
_atom_site_type_symbol
_atom_site_fract_x
_atom_site_fract_y
_atom_site_fract_z
Li1 Li 0.0000 0.0000 0.0000
Os1 Os 0.0000 0.0000 0.5000
Os2 Os 0.2500 0.2500 0.2500
Pt1 Pt 0.2500 0.2500 0.7500
```

# LiTa2OsPt

A crystal of LiTa2OsPt relaxed with PBEsol (meta-GGA SCAN, the Alexandria database).

Summary:
The value obtained for the formation energy from the elements is 1034 meV/atom. The value obtained for the raw total energy is -54.492 eV/atom. The calculated volume comes out at 92 Å³/cell.

```
data_LiTa2OsPt
_chemical_formula_sum 'Li1 Ta2 Os1 Pt1'
_cell_length_a 4.8272
_cell_length_b 4.8272
_cell_length_c 3.9536
_cell_angle_alpha 90.00
_cell_angle_beta 90.00
_cell_angle_gamma 90.00
_symmetry_space_group_name_H-M 'P 4/m m m'
_symmetry_Int_Tables_number 123
_symmetry_space_group_name_Hall '-P 4 2'
loop_
_atom_site_label
_atom_site_type_symbol
_atom_site_fract_x
_atom_site_fract_y
_atom_site_fract_z
Li1 Li 0.0000 0.0000 0.0000
Ta1 Ta 0.0000 0.5000 0.5000
Os1 Os 0.5000 0.5000 0.0000
Pt1 Pt 0.0000 0.0000 0.5000
```

# LiRe2Os

A crystal of LiRe2Os relaxed with PBEsol (meta-GGA SCAN, the Alexandria database).

Summary:
The value obtained for the formation energy from the elements is 310 meV/atom. The value obtained for the raw total energy is -53.806 eV/atom. The calculated volume comes out at 111 Å³/cell.

```
data_LiRe2Os
_chemical_formula_sum 'Li2 Re4 Os2'
_cell_length_a 5.1078
_cell_length_b 8.1178
_cell_length_c 2.6718
_cell_angle_alpha 90.00
_cell_angle_beta 90.00
_cell_angle_gamma 90.00
_symmetry_space_group_name_H-M 'C m m m'
_symmetry_Int_Tables_number 65
_symmetry_space_group_name_Hall '-C 2 2'
loop_
_atom_site_label
_atom_site_type_symbol
_atom_site_fract_x
_atom_site_fract_y
_atom_site_fract_z
Li1 Li 0.0000 0.0000 0.0000
Re1 Re 0.2500 0.2500 0.5000
Os1 Os 0.0000 0.5000 0.0000
```

# LiReOs2

A crystal of LiReOs2 relaxed with PBEsol (meta-GGA SCAN, the Alexandria database).

Summary:
The value obtained for the formation energy from the elements is 419 meV/atom. The value obtained for the raw total energy is -53.893 eV/atom. The calculated volume comes out at 54 Å³/cell. As for the excess energy over the best structure of this formula in the dataset: 155 meV/atom.

```
data_LiReOs2
_chemical_formula_sum 'Li1 Re1 Os2'
_cell_length_a 2.7606
_cell_length_b 4.4249
_cell_length_c 4.4601
_cell_angle_alpha 90.00
_cell_angle_beta 90.00
_cell_angle_gamma 90.00
_symmetry_space_group_name_H-M 'P m m m'
_symmetry_Int_Tables_number 47
loop_
_symmetry_equiv_pos_as_xyz
'x,y,z'
'-x,-y,-z'
'-x,-y,z'
'x,y,-z'
'x,-y,-z'
'-x,y,z'
'-x,y,-z'
'x,-y,z'
loop_
_atom_site_label
_atom_site_type_symbol
_atom_site_fract_x
_atom_site_fract_y
_atom_site_fract_z
Li1 Li 0.0000 0.0000 0.0000
Re1 Re 0.5000 0.0000 0.5000
Os1 Os 0.0000 0.5000 0.5000
Os2 Os 0.5000 0.5000 0.0000
```

# LiReOs2

A crystal of LiReOs2 relaxed with PBEsol (meta-GGA SCAN, the Alexandria database).

Summary:
The value obtained for the formation energy from the elements is 270 meV/atom. The value obtained for the raw total energy is -54.041 eV/atom. The calculated volume comes out at 106 Å³/cell. As for the excess energy over the best structure of this formula in the dataset: 6 meV/atom.

```
data_LiReOs2
_chemical_formula_sum 'Li2 Re2 Os4'
_cell_length_a 2.8458
_cell_length_b 4.3831
_cell_length_c 8.4727
_cell_angle_alpha 90.00
_cell_angle_beta 90.00
_cell_angle_gamma 90.00
_symmetry_space_group_name_H-M 'I m m m'
_symmetry_Int_Tables_number 71
_symmetry_space_group_name_Hall '-I 2 2'
loop_
_atom_site_label
_atom_site_type_symbol
_atom_site_fract_x
_atom_site_fract_y
_atom_site_fract_z
Li1 Li 0.0000 0.0000 0.0000
Re1 Re 0.0000 0.0000 0.5000
Os1 Os 0.0000 0.5000 0.2589
```

# LiReOs2

A crystal of LiReOs2 relaxed with PBEsol (meta-GGA SCAN, the Alexandria database).

Summary:
The value obtained for the formation energy from the elements is 264 meV/atom. The value obtained for the raw total energy is -54.047 eV/atom. The calculated volume comes out at 54 Å³/cell. As for the excess energy over the best structure of this formula in the dataset: 0 meV/atom.

```
data_LiReOs2
_chemical_formula_sum 'Li1 Re1 Os2'
_cell_length_a 4.3197
_cell_length_b 4.3197
_cell_length_c 2.8986
_cell_angle_alpha 90.00
_cell_angle_beta 90.00
_cell_angle_gamma 90.00
_symmetry_space_group_name_H-M 'P 4/m m m'
_symmetry_Int_Tables_number 123
_symmetry_space_group_name_Hall '-P 4 2'
loop_
_atom_site_label
_atom_site_type_symbol
_atom_site_fract_x
_atom_site_fract_y
_atom_site_fract_z
Li1 Li 0.0000 0.0000 0.0000
Re1 Re 0.5000 0.5000 0.0000
Os1 Os 0.0000 0.5000 0.5000
```

# LiRe2Os

A crystal of LiRe2Os relaxed with PBEsol (meta-GGA SCAN, the Alexandria database).

Summary:
The value obtained for the formation energy from the elements is 291 meV/atom. The value obtained for the raw total energy is -53.825 eV/atom. The calculated volume comes out at 55 Å³/cell.

```
data_LiRe2Os
_chemical_formula_sum 'Li1 Re2 Os1'
_cell_length_a 2.9569
_cell_length_b 4.2559
_cell_length_c 4.3421
_cell_angle_alpha 90.00
_cell_angle_beta 90.00
_cell_angle_gamma 90.00
_symmetry_space_group_name_H-M 'P m m m'
_symmetry_Int_Tables_number 47
loop_
_symmetry_equiv_pos_as_xyz
'x,y,z'
'-x,-y,-z'
'-x,-y,z'
'x,y,-z'
'x,-y,-z'
'-x,y,z'
'-x,y,-z'
'x,-y,z'
loop_
_atom_site_label
_atom_site_type_symbol
_atom_site_fract_x
_atom_site_fract_y
_atom_site_fract_z
Li1 Li 0.0000 0.0000 0.0000
Re1 Re 0.0000 0.5000 0.5000
Re2 Re 0.5000 0.0000 0.5000
Os1 Os 0.5000 0.5000 0.0000
```

# Li2ReTeOs

A crystal of Li2ReTeOs relaxed with PBEsol (meta-GGA SCAN, the Alexandria database).

Summary:
Its formation energy (no corrections) is 22.518 kcal/mol of atoms. The value obtained for the raw total energy is -36.025 eV/atom. The calculated volume comes out at 97 Å³/cell.

```
data_Li2ReTeOs
_chemical_formula_sum 'Li2 Re1 Te1 Os1'
_cell_length_a 4.5453
_cell_length_b 4.5453
_cell_length_c 4.7019
_cell_angle_alpha 90.00
_cell_angle_beta 90.00
_cell_angle_gamma 90.00
_symmetry_space_group_name_H-M 'P 4/m m m'
_symmetry_Int_Tables_number 123
_symmetry_space_group_name_Hall '-P 4 2'
loop_
_atom_site_label
_atom_site_type_symbol
_atom_site_fract_x
_atom_site_fract_y
_atom_site_fract_z
Li1 Li 0.0000 0.5000 0.0000
Re1 Re 0.0000 0.0000 0.5000
Te1 Te 0.5000 0.5000 0.5000
Os1 Os 0.0000 0.0000 0.0000
```